[1]
## CdFe2Co (PBE-GGA)

Data for a relaxed structure of CdFe2Co.

Unit cell a=8.6924 b=8.6924 c=8.6924 alpha=18.14 beta=18.14 gamma=18.14
Each line ends with the local moment (μB).
Sites, in units of the cell vectors:
1 Fe 0.2595 0.2595 0.2595  2.65
2 Fe 0.0021 0.0021 0.0021  2.61
3 Cd 0.4985 0.4985 0.4985  -0.02
4 Co 0.7399 0.7399 0.7399  1.61

Output
calculated total energy	-23.8	eV/f.u.

=====

[2]
## CdFe2Co (PBE-GGA)

Data for a relaxed structure of CdFe2Co.

Unit cell a=2.6310 b=2.6310 c=8.4247 alpha=90.00 beta=90.00 gamma=109.41
Each line ends with the local moment (μB).
Sites, in units of the cell vectors:
1 Co 0.5000 0.5000 0.7773  1.68
2 Fe 0.0000 0.0000 0.9973  2.62
3 Cd 0.0000 0.0000 0.5025  -0.05
4 Fe 0.5000 0.5000 0.2230  2.55

Output
calculated total energy	-23.9	eV/f.u.

=====

[3]
## CdFeCo2 (PBE-GGA)

Data for a relaxed structure of CdFeCo2.

Unit cell a=2.7751 b=3.3671 c=5.8299 alpha=90.00 beta=90.00 gamma=90.00
Each line ends with the local moment (μB).
Sites, in units of the cell vectors:
1 Cd 0.5000 0.5000 0.7550  -0.05
2 Co 0.0000 0.0000 0.0498  1.58
3 Co 0.5000 0.5000 0.2462  1.70
4 Fe 0.0000 0.0000 0.4489  2.67

Output
calculated total energy	-22.7	eV/f.u.

=====

[4]
## Cd2FeCo (PBE-GGA)

Data for a relaxed structure of Cd2FeCo.

Unit cell a=5.2863 b=5.2863 c=4.6071 alpha=64.48 beta=64.48 gamma=34.16
Each line ends with the local moment (μB).
Sites, in units of the cell vectors:
1 Co 0.5284 0.5284 0.4725  1.61
2 Fe 0.2176 0.2176 0.2816  2.76
3 Cd 0.7675 0.7675 0.7315  -0.03
4 Cd 0.9866 0.9866 0.0144  -0.03

Output
calculated total energy	-16.4	eV/f.u.